Tb3Pr4ErTe8: relaxed, PBE.

Values from the calculation:
The calculation puts the volume at 497.4 Å³/f.u. Its total energy is -5.284 eV/atom. The size of the total moment is 0.0 μB per formula unit. The calculation puts the density of states at the Fermi level at 11.082 states/eV per cell.

a = 8.7840 Å, b = 9.0069 Å, c = 8.7837 Å
α = 119.19°, β = 120.00°, γ = 90.00°
Fractional coordinates of all 16 atoms:
Tb 0.5000 0.5000 0.0000
Tb 0.5000 0.5000 0.5000
Tb 0.0000 0.5000 0.5000
Pr 0.5000 0.0000 0.0000
Pr 0.5000 0.0000 0.5000
Pr 0.0000 0.0000 0.0000
Pr 0.0000 0.0000 0.5000
Er 0.0000 0.5000 0.0000
Te 0.2438 0.7348 0.9911
Te 0.2437 0.7348 0.4875
Te 0.2545 0.2636 0.5090
Te 0.7473 0.7348 0.9911
Te 0.2527 0.2652 0.0089
Te 0.7455 0.7364 0.4910
Te 0.7563 0.2652 0.5125
Te 0.7562 0.2652 0.0089

ZnW3: relaxed, PBE.

Values from the calculation:
The calculation puts the volume at 64.2 Å³/f.u. The size of the total moment is 0.0 μB per formula unit. Its formation energy is 0.399 eV per atom. The calculation puts the density of states at the Fermi level at 3.122 states/eV per cell.

a = 2.7859 Å, b = 9.6817 Å, c = 2.7859 Å
α = 98.27°, β = 60.00°, γ = 98.27°
Fractional coordinates of all 4 atoms:
W 0.0022 0.0067 0.0022
W 0.2500 0.7500 0.2500
W 0.4978 0.4933 0.4978
Zn 0.7500 0.2500 0.7500

NaCuSi3: relaxed, PBE.

Values from the calculation:
The calculation puts the volume at 115.4 Å³/f.u. Its total energy is -2.614 eV/atom. The size of the total moment is 0.0 μB per formula unit. The calculation puts the density of states at the Fermi level at 3.013 states/eV per cell.

a = 4.8679 Å, b = 4.8679 Å, c = 4.8679 Å
α = 90.00°, β = 90.00°, γ = 90.00°
Fractional coordinates of all 5 atoms:
Na 0.0000 0.0000 0.0000
Si 0.0000 0.5000 0.0000
Si 0.0000 0.0000 0.5000
Si 0.5000 0.0000 0.0000
Cu 0.5000 0.5000 0.5000

Tb2GaSi3Pd4: relaxed, PBE.

Values from the calculation:
The calculation puts the volume at 177.2 Å³/f.u. Its total energy is -5.818 eV/atom. The size of the total moment is 0.0 μB per formula unit. The calculation puts the density of states at the Fermi level at 5.610 states/eV per cell.

a = 4.1927 Å, b = 4.1927 Å, c = 10.0788 Å
α = 90.00°, β = 90.00°, γ = 90.00°
Fractional coordinates of all 10 atoms:
Tb 0.5000 0.0000 0.2513
Tb 0.0000 0.5000 0.7487
Ga 0.5000 0.5000 0.5000
Si 0.0000 0.0000 0.5000
Si 0.5000 0.0000 0.8711
Si 0.0000 0.5000 0.1289
Pd 0.5000 0.5000 0.0000
Pd 0.0000 0.0000 0.0000
Pd 0.5000 0.0000 0.6353
Pd 0.0000 0.5000 0.3647

KTeP: relaxed, PBE.

Values from the calculation:
The calculation puts the volume at 97.6 Å³/f.u. Its total energy is -2.635 eV/atom. The size of the total moment is 0.0 μB per formula unit. The calculation puts the density of states at the Fermi level at 2.567 states/eV per cell.

a = 5.1675 Å, b = 5.1675 Å, c = 5.1675 Å
α = 60.00°, β = 60.00°, γ = 60.00°
Fractional coordinates of all 3 atoms:
K 0.7500 0.7500 0.7500
P 0.0000 0.0000 0.0000
Te 0.5000 0.5000 0.5000

Ti6Ge2N: relaxed, PBE.

Values from the calculation:
The calculation puts the volume at 158.7 Å³/f.u. Its total energy is -7.590 eV/atom. The size of the total moment is 0.0 μB per formula unit. The calculation puts the density of states at the Fermi level at 16.675 states/eV per cell.

a = 5.4075 Å, b = 5.4075 Å, c = 10.8578 Å
α = 90.00°, β = 90.00°, γ = 90.00°
Fractional coordinates of all 18 atoms:
Ti 0.3139 0.3139 0.3657
Ti 0.6861 0.6861 0.3657
Ti 0.1861 0.8139 0.8657
Ti 0.8139 0.1861 0.8657
Ti 0.1861 0.8139 0.1343
Ti 0.8139 0.1861 0.1343
Ti 0.3139 0.3139 0.6343
Ti 0.6861 0.6861 0.6343
Ti 0.2782 0.2782 0.0000
Ti 0.7218 0.7218 0.0000
Ti 0.2218 0.7782 0.5000
Ti 0.7782 0.2218 0.5000
Ge 0.0000 0.0000 0.3255
Ge 0.5000 0.5000 0.8255
Ge 0.5000 0.5000 0.1745
Ge 0.0000 0.0000 0.6745
N 0.0000 0.0000 0.0000
N 0.5000 0.5000 0.5000

The records above give, respectively, theoretical density values of 7.4; 16.0; 2.5; 8.4; 3.4; 4.7 g/cm3.